Record 1
Here is a relaxed structure of Pu2HgRu from Alexandria. Energies are from PBE.

Output
DFT total energy	-9.749	eV per atom
distance to the lowest polymorph of the same formula	0	meV/atom

Cell lengths 3.272, 3.272, 8.440 Å; angles 90.00, 90.00, 90.00 degrees
Site moments in Bohr magnetons follow the coordinates.
Sites, in units of the cell vectors:
1 Pu 0.000 0.000 0.790  5.31
2 Hg 0.500 0.500 0.500  0.05
3 Pu 0.000 0.000 0.210  5.31
4 Ru 0.500 0.500 0.000  -0.62

---

Record 2
Here is a relaxed structure of Pu3HgRu2 from Alexandria. Energies are from PBE.

Output
DFT total energy	-10.400	eV per atom

Cell lengths 3.262, 3.262, 12.073 Å; angles 90.00, 90.00, 90.00 degrees
Site moments in Bohr magnetons follow the coordinates.
Sites, in units of the cell vectors:
1 Pu 0.000 0.000 0.298  -5.21
2 Pu 0.000 0.000 0.000  4.70
3 Ru 0.500 0.500 0.853  0.01
4 Pu 0.000 0.000 0.702  -5.21
5 Ru 0.500 0.500 0.147  0.01
6 Hg 0.500 0.500 0.500  -0.04

---

Record 3
Here is a relaxed structure of SmPuHgRu from Alexandria. Energies are from PBE.

Output
DFT total energy	-7.401	eV per atom
distance to the lowest polymorph of the same formula	0	meV/atom

Cell lengths 3.375, 3.375, 8.218 Å; angles 90.00, 90.00, 90.00 degrees
Site moments in Bohr magnetons follow the coordinates.
Sites, in units of the cell vectors:
1 Sm 0.500 0.500 0.786  0.10
2 Ru 0.000 0.000 0.564  -0.35
3 Hg 0.000 0.000 0.073  0.02
4 Pu 0.500 0.500 0.361  5.22

---

Record 4
Here is a relaxed structure of SmPuHgRu from Alexandria. Energies are from PBE.

Output
DFT total energy	-7.252	eV per atom
distance to the lowest polymorph of the same formula	149	meV/atom

Cell lengths 5.091, 5.091, 5.091 Å; angles 60.00, 60.00, 60.00 degrees
Site moments in Bohr magnetons follow the coordinates.
Sites, in units of the cell vectors:
1 Sm 0.000 0.000 0.000  0.11
2 Ru 0.750 0.750 0.750  -0.48
3 Hg 0.250 0.250 0.250  0.04
4 Pu 0.500 0.500 0.500  5.30

---

Record 5
Here is a relaxed structure of TmPuHgRu from Alexandria. Energies are from PBE.

Output
DFT total energy	-7.418	eV per atom
distance to the lowest polymorph of the same formula	0	meV/atom

Cell lengths 3.340, 3.340, 7.984 Å; angles 90.00, 90.00, 90.00 degrees
Site moments in Bohr magnetons follow the coordinates.
Sites, in units of the cell vectors:
1 Tm 0.500 0.500 0.787  0.09
2 Pu 0.500 0.500 0.358  5.22
3 Ru 0.000 0.000 0.578  -0.33
4 Hg 0.000 0.000 0.061  0.00

---

Record 6
Here is a relaxed structure of TmPuHgRu from Alexandria. Energies are from PBE.

Output
DFT total energy	-7.240	eV per atom
distance to the lowest polymorph of the same formula	178	meV/atom

Cell lengths 5.011, 5.011, 5.011 Å; angles 60.00, 60.00, 60.00 degrees
Site moments in Bohr magnetons follow the coordinates.
Sites, in units of the cell vectors:
1 Hg 0.250 0.250 0.250  0.04
2 Tm 0.000 0.000 0.000  0.16
3 Pu 0.500 0.500 0.500  5.23
4 Ru 0.750 0.750 0.750  -0.42

---

Record 7
Here is a relaxed structure of Pu3HgS6 from Alexandria. Energies are from PBE.

Output
energy relative to the elements, uncorrected	-1.109	eV per atom
DFT total energy	-7.916	eV per atom
distance to the lowest polymorph of the same formula	130	meV/atom

Cell lengths 5.302, 8.560, 13.158 Å; angles 102.91, 90.00, 90.00 degrees
Site moments in Bohr magnetons follow the coordinates.
Sites, in units of the cell vectors:
1 Pu 0.750 0.096 0.918  4.84
2 Hg 0.750 0.339 0.140  -0.03
3 S 0.750 0.865 0.447  0.07
4 S 0.250 0.521 0.280  -0.02
5 Pu 0.250 0.904 0.082  4.84
6 Hg 0.250 0.661 0.860  -0.03
7 S 0.250 0.108 0.958  -0.17
8 S 0.250 0.647 0.546  -0.10
9 Pu 0.250 0.342 0.419  4.84
10 S 0.750 0.925 0.725  -0.08
11 S 0.750 0.479 0.720  -0.02
12 S 0.750 0.353 0.454  -0.10
13 S 0.750 0.327 0.820  -0.02
14 S 0.250 0.135 0.553  0.07
15 Pu 0.750 0.658 0.581  4.84
16 S 0.250 0.075 0.275  -0.08
17 Pu 0.250 0.846 0.394  -4.89
18 Pu 0.750 0.154 0.606  -4.89
19 S 0.750 0.892 0.042  -0.17
20 S 0.250 0.673 0.180  -0.02

---

Record 8
Here is a relaxed structure of Pu3Hg5S12 from Alexandria. Energies are from PBE.

Output
energy relative to the elements, uncorrected	-0.494	eV per atom
DFT total energy	-5.196	eV per atom

Cell lengths 13.593, 13.593, 13.593 Å; angles 109.47, 109.47, 109.47 degrees
Site moments in Bohr magnetons follow the coordinates.
Sites, in units of the cell vectors:
1 Hg 0.250 0.875 0.125  -0.02
2 Hg 0.750 0.125 0.875  -0.02
3 Hg 0.875 0.625 0.750  -0.02
4 S 0.360 0.944 0.774  -0.13
5 S 0.413 0.274 0.329  -0.13
6 S 0.416 0.056 0.329  -0.13
7 S 0.556 0.329 0.916  -0.13
8 Hg 0.375 0.250 0.125  -0.02
9 S 0.829 0.913 0.274  -0.13
10 S 0.056 0.416 0.829  -0.13
11 Hg 0.625 0.750 0.875  -0.02
12 S 0.087 0.171 0.226  -0.13
13 S 0.726 0.140 0.056  -0.13
14 S 0.916 0.829 0.556  -0.13
15 S 0.640 0.056 0.226  -0.13
16 Hg 0.375 0.125 0.750  -0.02
17 S 0.274 0.413 0.829  -0.13
18 S 0.916 0.087 0.860  -0.13
19 S 0.140 0.726 0.556  -0.13
20 S 0.226 0.671 0.087  -0.13
21 Hg 0.125 0.375 0.250  -0.02
22 Hg 0.500 0.500 0.000  -0.01
23 Hg 0.500 0.000 0.000  -0.01
24 Pu 0.375 0.625 0.250  4.73
25 Hg 0.625 0.875 0.250  -0.02
26 Hg 0.875 0.250 0.625  -0.02
27 Pu 0.625 0.250 0.375  4.73
28 S 0.226 0.556 0.640  -0.13
29 S 0.360 0.416 0.087  -0.13
30 S 0.329 0.774 0.413  -0.13
31 S 0.587 0.860 0.416  -0.13
32 S 0.084 0.913 0.140  -0.13
33 Hg 0.000 0.000 0.500  -0.01
34 S 0.944 0.360 0.274  -0.13
35 Pu 0.875 0.750 0.125  4.73
36 S 0.944 0.584 0.171  -0.13
37 S 0.329 0.556 0.416  -0.13
38 Hg 0.750 0.625 0.375  -0.02
39 Pu 0.375 0.750 0.625  4.73
40 S 0.171 0.084 0.944  -0.13
41 S 0.913 0.829 0.774  -0.13
42 S 0.671 0.226 0.587  -0.13
43 S 0.413 0.140 0.584  -0.13
44 Pu 0.750 0.375 0.125  4.73
45 S 0.274 0.860 0.944  -0.13
46 Pu 0.125 0.875 0.750  4.73
47 S 0.084 0.171 0.444  -0.13
48 Pu 0.625 0.375 0.750  4.73
49 Pu 0.125 0.250 0.875  4.73
50 S 0.774 0.329 0.913  -0.13
51 Hg 0.500 0.500 0.500  -0.01
52 S 0.774 0.444 0.360  -0.13
53 Hg 0.250 0.375 0.625  -0.02
54 S 0.556 0.226 0.140  -0.13
55 Hg 0.000 0.500 0.000  -0.01
56 Hg 0.000 0.000 0.000  -0.01
57 S 0.860 0.274 0.444  -0.13
58 Pu 0.750 0.875 0.625  4.73
59 S 0.726 0.587 0.171  -0.13
60 S 0.671 0.444 0.584  -0.13
61 Pu 0.250 0.625 0.875  4.73
62 S 0.584 0.944 0.671  -0.13
63 Pu 0.875 0.125 0.250  4.73
64 Hg 0.125 0.750 0.375  -0.02
65 S 0.087 0.916 0.360  -0.13
66 Hg 0.500 0.000 0.500  -0.01
67 S 0.860 0.587 0.916  -0.13
68 Hg 0.000 0.500 0.500  -0.01
69 S 0.913 0.084 0.640  -0.13
70 S 0.584 0.640 0.413  -0.13
71 Pu 0.250 0.125 0.375  4.73
72 S 0.056 0.640 0.726  -0.13
73 S 0.140 0.413 0.084  -0.13
74 S 0.640 0.584 0.913  -0.13
75 S 0.829 0.916 0.056  -0.13
76 S 0.444 0.774 0.860  -0.13
77 S 0.171 0.087 0.726  -0.13
78 S 0.587 0.726 0.671  -0.13
79 S 0.444 0.671 0.084  -0.13
80 S 0.416 0.360 0.587  -0.13

---

Record 9
Here is a relaxed structure of PuHgS2 from Alexandria. Energies are from PBE.

Output
energy relative to the elements, uncorrected	-1.007	eV per atom
DFT total energy	-6.729	eV per atom

Cell lengths 4.001, 4.001, 9.540 Å; angles 101.95, 90.03, 120.00 degrees
Site moments in Bohr magnetons follow the coordinates.
Sites, in units of the cell vectors:
1 Hg 0.081 0.925 0.052  -0.02
2 Pu 0.585 0.925 0.552  4.50
3 S 0.300 0.354 0.697  -0.20
4 S 0.870 0.496 0.407  -0.20

---

Record 10
Here is a relaxed structure of PuHgS2 from Alexandria. Energies are from PBE.

Output
energy relative to the elements, uncorrected	-1.007	eV per atom
DFT total energy	-6.729	eV per atom

Cell lengths 4.000, 4.000, 10.108 Å; angles 78.59, 78.59, 60.00 degrees
Site moments in Bohr magnetons follow the coordinates.
Sites, in units of the cell vectors:
1 S 0.121 0.121 0.637  -0.20
2 Pu 0.500 0.500 0.500  4.52
3 S 0.879 0.879 0.363  -0.20
4 Hg 0.000 0.000 0.000  -0.04

---

Record 11
Here is a relaxed structure of PuHgS3 from Alexandria. Energies are from PBE.

Output
energy relative to the elements, uncorrected	-0.828	eV per atom
DFT total energy	-6.231	eV per atom

Cell lengths 4.113, 6.745, 11.798 Å; angles 116.48, 90.00, 90.00 degrees
Site moments in Bohr magnetons follow the coordinates.
Sites, in units of the cell vectors:
1 Hg 0.750 0.796 0.333  -0.01
2 S 0.750 0.842 0.052  -0.20
3 S 0.250 0.031 0.368  -0.09
4 Pu 0.250 0.119 0.164  4.55
5 Pu 0.750 0.881 0.836  4.55
6 Hg 0.250 0.204 0.667  -0.01
7 S 0.750 0.969 0.632  -0.09
8 S 0.250 0.158 0.948  -0.20
9 S 0.250 0.608 0.732  -0.15
10 S 0.750 0.392 0.268  -0.15

---

Record 12
Here is a relaxed structure of Pu3HgS from Alexandria. Energies are from PBE.

Output
energy relative to the elements, uncorrected	-0.314	eV per atom
DFT total energy	-9.799	eV per atom

Cell lengths 5.289, 5.289, 5.289 Å; angles 90.00, 90.00, 90.00 degrees
Site moments in Bohr magnetons follow the coordinates.
Sites, in units of the cell vectors:
1 Pu 0.000 0.000 0.500  5.65
2 Pu 0.000 0.500 0.000  5.65
3 Hg 0.500 0.500 0.500  0.02
4 Pu 0.500 0.000 0.000  5.65
5 S 0.000 0.000 0.000  -0.15

---

Record 13
Here is a relaxed structure of Pu2HgS from Alexandria. Energies are from PBE.

Output
energy relative to the elements, uncorrected	-0.740	eV per atom
DFT total energy	-9.013	eV per atom
distance to the lowest polymorph of the same formula	17	meV/atom

Cell lengths 3.423, 3.423, 7.922 Å; angles 90.00, 90.00, 90.00 degrees
Site moments in Bohr magnetons follow the coordinates.
Sites, in units of the cell vectors:
1 Pu 0.000 0.000 0.213  5.66
2 Hg 0.500 0.500 0.500  0.03
3 Pu 0.000 0.000 0.787  5.66
4 S 0.500 0.500 0.000  -0.11

---

Record 14
Here is a relaxed structure of Pu3HgS6 from Alexandria. Energies are from PBE.

Output
energy relative to the elements, uncorrected	-1.240	eV per atom
DFT total energy	-8.046	eV per atom
distance to the lowest polymorph of the same formula	0	meV/atom

Cell lengths 6.626, 8.568, 8.568 Å; angles 102.45, 90.00, 90.00 degrees
Site moments in Bohr magnetons follow the coordinates.
Sites, in units of the cell vectors:
1 S 0.223 0.456 0.907  -0.04
2 Pu 0.470 0.919 0.716  4.88
3 S 0.196 0.026 0.974  -0.11
4 S 0.136 0.779 0.221  -0.06
5 Hg 0.509 0.800 0.200  0.01
6 Pu 0.970 0.716 0.919  4.88
7 S 0.681 0.312 0.365  -0.01
8 S 0.181 0.365 0.312  -0.01
9 S 0.636 0.221 0.779  -0.06
10 Pu 0.470 0.284 0.081  4.88
11 Pu 0.897 0.603 0.397  -4.81
12 S 0.181 0.688 0.635  -0.01
13 S 0.681 0.635 0.688  -0.01
14 Pu 0.397 0.397 0.603  -4.81
15 Hg 0.009 0.200 0.800  0.01
16 S 0.723 0.544 0.093  -0.04
17 S 0.223 0.093 0.544  -0.04
18 S 0.696 0.974 0.026  -0.11
19 Pu 0.970 0.081 0.284  4.88
20 S 0.723 0.907 0.456  -0.04

---

Record 15
Here is a relaxed structure of Pu2HgS from Alexandria. Energies are from PBE.

Output
energy relative to the elements, uncorrected	-0.757	eV per atom
DFT total energy	-9.031	eV per atom
distance to the lowest polymorph of the same formula	0	meV/atom

Cell lengths 3.763, 3.763, 8.686 Å; angles 77.49, 77.49, 60.00 degrees
Site moments in Bohr magnetons follow the coordinates.
Sites, in units of the cell vectors:
1 Pu 0.265 0.265 0.206  5.51
2 Pu 0.735 0.735 0.794  5.51
3 Hg 0.500 0.500 0.500  0.07
4 S 0.000 0.000 0.000  -0.12

---

Record 16
Here is a relaxed structure of PuHgS from Alexandria. Energies are from PBE.

Output
energy relative to the elements, uncorrected	-0.807	eV per atom
DFT total energy	-7.060	eV per atom

Cell lengths 3.568, 3.568, 6.533 Å; angles 105.85, 105.85, 90.00 degrees
Site moments in Bohr magnetons follow the coordinates.
Sites, in units of the cell vectors:
1 Hg 0.002 0.002 0.005  0.04
2 S 0.295 0.295 0.590  -0.12
3 Pu 0.703 0.703 0.405  5.48

---

Record 17
Here is a relaxed structure of PuHgS2 from Alexandria. Energies are from PBE.

Output
energy relative to the elements, uncorrected	-1.008	eV per atom
DFT total energy	-6.730	eV per atom

Cell lengths 4.013, 4.013, 9.214 Å; angles 77.42, 77.42, 60.00 degrees
Site moments in Bohr magnetons follow the coordinates.
Sites, in units of the cell vectors:
1 S 0.049 0.049 0.852  -0.20
2 S 0.283 0.283 0.152  -0.20
3 Pu 0.666 0.666 0.003  4.52
4 Hg 0.502 0.502 0.493  -0.03

---

Record 18
Here is a relaxed structure of PuHg3S4 from Alexandria. Energies are from PBE.

Output
energy relative to the elements, uncorrected	-0.338	eV per atom
DFT total energy	-4.307	eV per atom

Cell lengths 6.465, 6.465, 6.465 Å; angles 90.00, 90.00, 90.00 degrees
Site moments in Bohr magnetons follow the coordinates.
Sites, in units of the cell vectors:
1 Pu 0.000 0.000 0.000  4.86
2 Hg 0.000 0.500 0.000  0.01
3 S 0.767 0.767 0.233  -0.03
4 S 0.233 0.767 0.767  -0.03
5 S 0.767 0.233 0.767  -0.03
6 Hg 0.000 0.000 0.500  0.01
7 Hg 0.500 0.000 0.000  0.01
8 S 0.233 0.233 0.233  -0.03

---

Record 19
Here is a relaxed structure of Sr2PuHgS5 from Alexandria. Energies are from PBE.

Output
energy relative to the elements, uncorrected	-1.430	eV per atom
DFT total energy	-5.723	eV per atom

Cell lengths 4.091, 9.029, 12.562 Å; angles 90.00, 90.00, 103.10 degrees
Site moments in Bohr magnetons follow the coordinates.
Sites, in units of the cell vectors:
1 S 0.716 0.432 0.157  -0.13
2 Hg 0.459 0.918 0.451  -0.01
3 S 0.361 0.722 0.002  -0.08
4 Sr 0.108 0.216 0.681  0.00
5 Hg 0.541 0.082 0.951  -0.01
6 S 0.497 0.993 0.766  -0.02
7 S 0.639 0.278 0.502  -0.08
8 Sr 0.874 0.747 0.811  0.00
9 S 0.284 0.568 0.657  -0.13
10 S 0.939 0.878 0.568  -0.08
11 Sr 0.892 0.784 0.181  0.00
12 Pu 0.789 0.579 0.515  4.56
13 S 0.061 0.122 0.068  -0.08
14 S 0.503 0.007 0.266  -0.02
15 Pu 0.211 0.421 0.015  4.56
16 S 0.700 0.400 0.873  -0.13
17 S 0.300 0.600 0.373  -0.13
18 Sr 0.126 0.253 0.311  0.00

---

Record 20
Here is a relaxed structure of Pu2Tl3HgS6 from Alexandria. Energies are from PBE.

Output
energy relative to the elements, uncorrected	-0.859	eV per atom
DFT total energy	-5.928	eV per atom

Cell lengths 7.162, 7.162, 7.719 Å; angles 97.32, 97.32, 122.84 degrees
Site moments in Bohr magnetons follow the coordinates.
Sites, in units of the cell vectors:
1 S 0.559 0.935 0.785  -0.12
2 Tl 0.158 0.842 0.500  -0.01
3 S 0.738 0.738 0.175  -0.09
4 Hg 0.000 0.000 0.000  0.01
5 Pu 0.332 0.668 0.000  4.80
6 S 0.441 0.065 0.215  -0.12
7 Tl 0.500 0.500 0.500  0.00
8 S 0.262 0.262 0.825  -0.09
9 S 0.065 0.441 0.215  -0.12
10 Tl 0.842 0.158 0.500  -0.01
11 Pu 0.668 0.332 0.000  4.80
12 S 0.935 0.559 0.785  -0.12

---

Record 21
Here is a relaxed structure of PuHgSb2 from Alexandria. Energies are from PBE.

Output
energy relative to the elements, uncorrected	-0.299	eV per atom
DFT total energy	-6.019	eV per atom
distance to the lowest polymorph of the same formula	54	meV/atom

Cell lengths 4.940, 4.940, 4.213 Å; angles 84.36, 84.36, 89.74 degrees
Site moments in Bohr magnetons follow the coordinates.
Sites, in units of the cell vectors:
1 Sb 0.000 0.500 0.000  -0.06
2 Pu 0.000 0.000 0.500  5.19
3 Sb 0.500 0.000 0.000  -0.06
4 Hg 0.500 0.500 0.500  -0.01

---

Record 22
Here is a relaxed structure of Pu4HgSb2 from Alexandria. Energies are from PBE.

Output
energy relative to the elements, uncorrected	0.049	eV per atom
DFT total energy	-9.362	eV per atom

Cell lengths 5.767, 5.767, 7.504 Å; angles 112.60, 112.60, 90.00 degrees
Site moments in Bohr magnetons follow the coordinates.
Sites, in units of the cell vectors:
1 Sb 0.362 0.362 0.723  0.02
2 Pu 0.250 0.750 0.500  -5.37
3 Pu 0.000 0.500 0.000  5.37
4 Pu 0.500 0.000 0.000  5.37
5 Hg 0.000 0.000 0.000  0.12
6 Sb 0.638 0.638 0.277  0.02
7 Pu 0.750 0.250 0.500  -5.37